Record 1
A relaxed structure of Tl2CrFe. Source: Alexandria via LeMat-Bulk, functional GGA-PBE.

ΔE to the lowest computed polymorph   0.403 eV/atom
Formation enthalpy at 0 K   3.56 eV/f.u.
Uncorrected energy   -4.8149 eV per atom
Total magnetic moment   6.236 μB/f.u.

CIF file:
```
data_Tl2CrFe
_chemical_formula_sum 'Tl4 Cr2 Fe2'
_cell_length_a 7.506
_cell_length_b 7.506
_cell_length_c 6.095
_cell_angle_alpha 51.99
_cell_angle_beta 51.99
_cell_angle_gamma 90.00
_space_group_name_H-M_alt 'P 1'
_space_group_IT_number 1
loop_
_space_group_symop_operation_xyz
'x,y,z'
loop_
_atom_site_label
_atom_site_fract_x
_atom_site_fract_y
_atom_site_fract_z
Fe1 0.000 0.000 0.000
Tl1 0.110 0.625 0.250
Tl2 0.375 0.360 0.750
Fe2 0.750 0.250 0.500
Cr1 0.500 0.500 0.000
Cr2 0.250 0.750 0.500
Tl3 0.875 0.890 0.750
Tl4 0.640 0.125 0.250
```



Record 2
A relaxed structure of Ga3CoH. Source: Alexandria via LeMat-Bulk, functional GGA-PBE.

ΔE to the lowest computed polymorph   0.000 eV/atom
Uncorrected energy   -3.6794 eV per atom
Total magnetic moment   0.390 μB/f.u.

CIF file:
```
data_Ga3CoH
_chemical_formula_sum 'Ga3 Co1 H1'
_cell_length_a 4.511
_cell_length_b 4.511
_cell_length_c 4.511
_cell_angle_alpha 90.00
_cell_angle_beta 90.00
_cell_angle_gamma 90.00
_space_group_name_H-M_alt 'P 1'
_space_group_IT_number 1
loop_
_space_group_symop_operation_xyz
'x,y,z'
loop_
_atom_site_label
_atom_site_fract_x
_atom_site_fract_y
_atom_site_fract_z
Ga1 0.500 0.000 0.000
Ga2 0.000 0.000 0.500
Ga3 0.000 0.500 0.000
Co1 0.000 0.000 0.000
H1 0.500 0.500 0.500
```